No. 1
Crystalline Tb3Ag4SbS8 at its relaxed geometry. Source: Alexandria, functional PBE.

Calculated values
**SG**: C2/m

Lattice parameters (Å, degrees): 7.7335 7.7335 7.7057 117.01 117.01 62.82
Atoms (fractional coordinates):
Tb (0.0000, 0.0000, 0.0000)
Tb (0.0000, 0.5000, 0.5000)
Tb (0.5000, 0.0000, 0.5000)
Ag (0.0000, 0.0000, 0.5000)
Ag (0.0000, 0.5000, 0.0000)
Ag (0.5000, 0.0000, 0.0000)
Ag (0.5000, 0.5000, 0.5000)
Sb (0.5000, 0.5000, 0.0000)
S (0.2461, 0.2461, 0.2521)
S (0.2483, 0.7467, 0.7515)
S (0.2534, 0.2534, 0.7502)
S (0.2533, 0.7517, 0.2485)
S (0.7467, 0.2483, 0.7515)
S (0.7466, 0.7466, 0.2498)
S (0.7517, 0.2533, 0.2485)
S (0.7539, 0.7539, 0.7479)

No. 2
Crystalline AgSb2TeS at its relaxed geometry. Source: Alexandria, functional PBE.

Calculated values
**Relative energy among the computed polymorphs**: 0.0000 eV per atom
**SG**: P4/mmm
**Fermi-level density of states**: 5.3 states/eV per cell

Lattice parameters (Å, degrees): 5.2421 5.2421 5.2393 90.00 90.00 90.00
Atoms (fractional coordinates):
Ag (0.0000, 0.0000, 0.0000)
Sb (0.0000, 0.5000, 0.5000)
Sb (0.5000, 0.0000, 0.5000)
Te (0.5000, 0.5000, 0.0000)
S (0.5000, 0.5000, 0.5000)

No. 3
Crystalline AgSb2TeS3 at its relaxed geometry. Source: Alexandria, functional PBE.

Calculated values
**SG**: R-3m
**Fermi-level density of states**: 5.2 states/eV per cell

Lattice parameters (Å, degrees): 8.1679 8.1679 8.1679 58.66 58.66 58.66
Atoms (fractional coordinates):
Ag (0.0929, 0.0929, 0.0929)
Ag (0.9071, 0.9071, 0.9071)
Sb (0.0000, 0.5000, 0.5000)
Sb (0.5000, 0.0000, 0.5000)
Sb (0.5000, 0.5000, 0.0000)
Sb (0.5000, 0.5000, 0.5000)
Te (0.2371, 0.2371, 0.2371)
Te (0.7629, 0.7629, 0.7629)
S (0.2563, 0.2563, 0.7196)
S (0.2563, 0.7196, 0.2563)
S (0.2804, 0.7437, 0.7437)
S (0.7196, 0.2563, 0.2563)
S (0.7437, 0.2804, 0.7437)
S (0.7437, 0.7437, 0.2804)

No. 4
Crystalline AgSb2TeS at its relaxed geometry. Source: Alexandria, functional PBE.

Calculated values
**Relative energy among the computed polymorphs**: 0.2645 eV per atom
**SG**: P4/mmm
**Fermi-level density of states**: 7.0 states/eV per cell

Lattice parameters (Å, degrees): 5.3862 5.3862 5.2648 90.00 90.00 90.00
Atoms (fractional coordinates):
Ag (0.0000, 0.0000, 0.0000)
Sb (0.0000, 0.5000, 0.0000)
Sb (0.5000, 0.0000, 0.0000)
Te (0.0000, 0.0000, 0.5000)
S (0.5000, 0.5000, 0.5000)

No. 5
Crystalline ThAgSbS at its relaxed geometry. Source: Alexandria, functional PBE.

Calculated values
**SG**: P4/nmm
**Fermi-level density of states**: 0.6 states/eV per cell

Lattice parameters (Å, degrees): 4.4834 4.4834 9.4519 90.00 90.00 90.00
Atoms (fractional coordinates):
Th (0.2500, 0.2500, 0.1828)
Th (0.7500, 0.7500, 0.8172)
Ag (0.2500, 0.7500, 0.5000)
Ag (0.7500, 0.2500, 0.5000)
Sb (0.2500, 0.2500, 0.6921)
Sb (0.7500, 0.7500, 0.3079)
S (0.2500, 0.7500, 0.0000)
S (0.7500, 0.2500, 0.0000)

No. 6
Crystalline Tl2AgSbS4 at its relaxed geometry. Source: Alexandria, functional PBE.

Calculated values
**SG**: C2

Lattice parameters (Å, degrees): 6.7131 6.7131 7.5619 124.25 124.25 74.44
Atoms (fractional coordinates):
Tl (0.0000, 0.0000, 0.0000)
Tl (0.7507, 0.2493, 0.5000)
Ag (0.2500, 0.7500, 0.5000)
Sb (0.4999, 0.5001, 0.0000)
S (0.1832, 0.5073, 0.0586)
S (0.4484, 0.1250, 0.6317)
S (0.4927, 0.8168, 0.9414)
S (0.8750, 0.5516, 0.3683)

No. 7
Crystalline Tl3Ag3Sb2S6 at its relaxed geometry. Source: Alexandria, functional PBE.

Calculated values
**SG**: P2_1/c

Lattice parameters (Å, degrees): 11.5128 12.1764 12.2096 90.00 119.86 90.00
Atoms (fractional coordinates):
Tl (0.1638, 0.2487, 0.2275)
Tl (0.1638, 0.2513, 0.7275)
Tl (0.1942, 0.5059, 0.4661)
Tl (0.1942, 0.9941, 0.9661)
Tl (0.2120, 0.6133, 0.1117)
Tl (0.2120, 0.8867, 0.6117)
Tl (0.7880, 0.1133, 0.3883)
Tl (0.7880, 0.3867, 0.8883)
Tl (0.8058, 0.0059, 0.0339)
Tl (0.8058, 0.4941, 0.5339)
Tl (0.8362, 0.7487, 0.2725)
Tl (0.8362, 0.7513, 0.7725)
Ag (0.1160, 0.1510, 0.4269)
Ag (0.1160, 0.3490, 0.9269)
Ag (0.4698, 0.6361, 0.4243)
Ag (0.4698, 0.8639, 0.9243)
Ag (0.4712, 0.6289, 0.0523)
Ag (0.4712, 0.8711, 0.5523)
Ag (0.5288, 0.1289, 0.4477)
Ag (0.5288, 0.3711, 0.9477)
Ag (0.5302, 0.1361, 0.0757)
Ag (0.5302, 0.3639, 0.5757)
Ag (0.8840, 0.6510, 0.0731)
Ag (0.8840, 0.8490, 0.5731)
Sb (0.1689, 0.5954, 0.7595)
Sb (0.1689, 0.9046, 0.2595)
Sb (0.4994, 0.1439, 0.7444)
Sb (0.4994, 0.3561, 0.2444)
Sb (0.5006, 0.6439, 0.7556)
Sb (0.5006, 0.8561, 0.2556)
Sb (0.8311, 0.0954, 0.7405)
Sb (0.8311, 0.4046, 0.2405)
S (0.0019, 0.6844, 0.5574)
S (0.0019, 0.8156, 0.0574)
S (0.0053, 0.5331, 0.8207)
S (0.0053, 0.9669, 0.3207)
S (0.2676, 0.7477, 0.4038)
S (0.2676, 0.7523, 0.9038)
S (0.3585, 0.0790, 0.5246)
S (0.3585, 0.4210, 0.0246)
S (0.3724, 0.0729, 0.8433)
S (0.3724, 0.4271, 0.3433)
S (0.4169, 0.1666, 0.2100)
S (0.4169, 0.3334, 0.7100)
S (0.5831, 0.6666, 0.2900)
S (0.5831, 0.8334, 0.7900)
S (0.6276, 0.5729, 0.6567)
S (0.6276, 0.9271, 0.1567)
S (0.6415, 0.5790, 0.9754)
S (0.6415, 0.9210, 0.4754)
S (0.7324, 0.2477, 0.0962)
S (0.7324, 0.2523, 0.5962)
S (0.9947, 0.0331, 0.6793)
S (0.9947, 0.4669, 0.1793)
S (0.9981, 0.1844, 0.9426)
S (0.9981, 0.3156, 0.4426)

No. 8
Crystalline Tl3Ag2SbS6 at its relaxed geometry. Source: Alexandria, functional PBE.

Calculated values
**SG**: C2/m
**Fermi-level density of states**: 4.5 states/eV per cell

Lattice parameters (Å, degrees): 6.9030 6.9030 6.9388 99.30 99.30 120.31
Atoms (fractional coordinates):
Tl (0.0000, 0.0000, 0.0000)
Tl (0.3330, 0.6670, 0.0000)
Tl (0.6670, 0.3330, 0.0000)
Ag (0.1662, 0.8338, 0.5000)
Ag (0.8338, 0.1662, 0.5000)
Sb (0.5000, 0.5000, 0.5000)
S (0.0947, 0.4229, 0.2809)
S (0.2463, 0.2463, 0.7256)
S (0.4229, 0.0947, 0.2809)
S (0.5771, 0.9053, 0.7191)
S (0.7537, 0.7537, 0.2745)
S (0.9053, 0.5771, 0.7191)

Calculated formation energy without anion corrections in order - -96 60 -12 85 -99 -21 -24 -14 kJ/mol of atoms
Calculated magnetization in order - 0.00 0.00 0.00 0.00 0.00 0.00 0.00 0.00 μB per formula unit